Run one
First-principles (PBE) data for a relaxed Ta4TlS8 crystal, as listed in Alexandria via LeMat-Bulk.

Geometry as CIF:
```
data_Ta4TlS8
_space_group_name_H-M_alt 'F -4 3 m'
_space_group_IT_number 216
_space_group_name_Hall 'F -4 2 3'
_cell_length_a 10.250
_cell_length_b 10.250
_cell_length_c 10.250
_cell_angle_alpha 90.00
_cell_angle_beta 90.00
_cell_angle_gamma 90.00
loop_
_atom_site_label
_atom_site_fract_x
_atom_site_fract_y
_atom_site_fract_z
_atom_site_occupancy
Ta1 0.104 0.104 0.104 1
Tl1 0.000 0.000 0.500 1
S1 0.130 0.130 0.870 1
S2 0.143 0.143 0.357 1
```

Results
N(E_F): 25.76 states/eV/cell
Density: 7.308 g cm⁻³
Spin magnetization: 0.0000 μB/atom

***

Run two
First-principles (PBE) data for a relaxed Ta4TlS8 crystal, as listed in Alexandria via LeMat-Bulk.

Geometry as CIF:
```
data_Ta4TlS8
_space_group_name_H-M_alt 'R -3 m'
_space_group_IT_number 166
_space_group_name_Hall '-R 3 2"'
_cell_length_a 6.7562
_cell_length_b 6.7562
_cell_length_c 24.6669
_cell_angle_alpha 90.00
_cell_angle_beta 90.00
_cell_angle_gamma 120.00
loop_
_atom_site_label
_atom_site_fract_x
_atom_site_fract_y
_atom_site_fract_z
_atom_site_occupancy
Ta1 0.0000 0.0000 0.0000 1
Ta2 0.0000 0.5000 0.0000 1
Tl1 0.0000 0.0000 0.5000 1
S1 0.0000 0.0000 0.2709 1
S2 0.9995 0.4998 0.2708 1
```

Results
N(E_F): 15.25 states/eV/cell
Density: 6.052 g cm⁻³
Spin magnetization: 0.0000 μB/atom

***

Which is more stable than every other structure shown? run two is more stable than every other one.